First-principles (PBE) data for a geometry-optimized GdDyGa2Ir4 structure, as listed in OQMD via LeMat-Bulk.

Unit cell a=4.3357 b=4.3357 c=9.0908 alpha=90.00 beta=90.00 gamma=120.00
Space group P-6m2 (No. 187)
Inequivalent atoms, fractional coordinates:
Gd1 0.0000 0.0000 0.0000 (multiplicity 1)
Dy1 0.3333 0.6667 0.5000 (multiplicity 1)
Ga1 0.6667 0.3333 0.2520 (multiplicity 2)
Ir1 0.0000 0.0000 0.3351 (multiplicity 2)
Ir2 0.3333 0.6667 0.1731 (multiplicity 2)

Values from the calculation:
**Energy above the most stable polymorph in this dataset**: 0 meV/atom
**Raw total energy**: -6.90 eV/atom



First-principles (PBE) data for a geometry-optimized Cd3Au2 structure, as listed in OQMD via LeMat-Bulk.

Unit cell a=15.332 b=5.200 c=4.899 alpha=90.00 beta=90.00 gamma=90.00
Space group Cmcm (No. 63)
Inequivalent atoms, fractional coordinates:
Cd1 0.000 0.191 0.250 (multiplicity 4)
Cd2 0.197 0.185 0.250 (multiplicity 8)
Au1 0.101 0.315 0.750 (multiplicity 8)

Values from the calculation:
**Raw total energy**: -2.01 eV/atom
**Formation energy**: -0.163 eV per atom



First-principles (PBE) data for a geometry-optimized Lu5Co2B6 structure, as listed in OQMD via LeMat-Bulk.

Unit cell a=5.3492 b=5.3492 c=22.4432 alpha=90.00 beta=90.00 gamma=120.00
Space group R-3m (No. 166, hexagonal axes)
Inequivalent atoms, fractional coordinates:
Lu1 0.0000 0.0000 0.0000 (multiplicity 3)
Lu2 0.0000 0.0000 0.2520 (multiplicity 6)
Lu3 0.0000 0.0000 0.4155 (multiplicity 6)
Co1 0.0000 0.0000 0.1180 (multiplicity 6)
B1 0.0000 0.3307 0.5000 (multiplicity 18)

Values from the calculation:
**Raw total energy**: -6.48 eV/atom



First-principles (PBE) data for a geometry-optimized RbSrTbSe3 structure, as listed in OQMD via LeMat-Bulk.

Unit cell a=19.139 b=4.254 c=12.220 alpha=90.00 beta=119.65 gamma=90.00
Space group C2/m (No. 12)
Inequivalent atoms, fractional coordinates:
Rb1 0.049 0.000 0.248 (multiplicity 4)
Sr1 0.115 0.500 0.678 (multiplicity 4)
Tb1 0.167 0.500 0.066 (multiplicity 4)
Se1 0.000 0.000 0.500 (multiplicity 2)
Se2 0.000 0.500 0.000 (multiplicity 2)
Se3 0.157 0.000 0.886 (multiplicity 4)
Se4 0.214 0.000 0.243 (multiplicity 4)

Values from the calculation:
**Energy above the most stable polymorph in this dataset**: 0 meV/atom
**Raw total energy**: -4.66 eV/atom



First-principles (PBE) data for a geometry-optimized Cu11Ag9 structure, as listed in OQMD via LeMat-Bulk.

Unit cell a=4.751 b=7.230 c=8.703 alpha=83.46 beta=79.15 gamma=89.05
Space group P1 (No. 1)
Inequivalent atoms, fractional coordinates:
Cu1 0.000 0.000 0.000 (multiplicity 1)
Cu2 0.023 0.443 0.355 (multiplicity 1)
Cu3 0.060 0.920 0.714 (multiplicity 1)
Cu4 0.235 0.242 0.756 (multiplicity 1)
Cu5 0.276 0.699 0.110 (multiplicity 1)
Cu6 0.488 0.492 0.503 (multiplicity 1)
Cu7 0.515 0.957 0.845 (multiplicity 1)
Cu8 0.569 0.406 0.216 (multiplicity 1)
Cu9 0.635 0.865 0.564 (multiplicity 1)
Cu10 0.772 0.193 0.604 (multiplicity 1)
Cu11 0.870 0.107 0.313 (multiplicity 1)
Ag1 0.119 0.353 0.065 (multiplicity 1)
Ag2 0.186 0.801 0.419 (multiplicity 1)
Ag3 0.323 0.160 0.462 (multiplicity 1)
Ag4 0.367 0.613 0.796 (multiplicity 1)
Ag5 0.436 0.044 0.153 (multiplicity 1)
Ag6 0.684 0.291 0.900 (multiplicity 1)
Ag7 0.743 0.747 0.266 (multiplicity 1)
Ag8 0.812 0.667 0.958 (multiplicity 1)
Ag9 0.926 0.539 0.645 (multiplicity 1)

Values from the calculation:
**Energy above the most stable polymorph in this dataset**: 5 meV/atom
**Raw total energy**: -3.22 eV/atom
**Formation energy**: 0.097 eV per atom



First-principles (PBE) data for a geometry-optimized ZnCu structure, as listed in OQMD via LeMat-Bulk.

Unit cell a=2.949 b=2.949 c=2.949 alpha=90.00 beta=90.00 gamma=90.00
Space group Pm-3m (No. 221)
Inequivalent atoms, fractional coordinates:
Zn1 0.000 0.000 0.000 (multiplicity 1)
Cu1 0.500 0.500 0.500 (multiplicity 1)

Values from the calculation:
**Raw total energy**: -2.58 eV/atom
**Formation energy**: -0.091 eV per atom